Record 1
RbNa2Tl8: relaxed, PBE-GGA.

Cell lengths 4.693, 4.693, 16.646 Å; angles 90.00, 90.00, 90.00 degrees
Element x y z (fractional)
1 Rb 0.000 0.000 0.000
2 Na 0.000 0.000 0.346
3 Na 0.000 0.000 0.654
4 Tl 0.000 0.500 0.188
5 Tl 0.000 0.500 0.500
6 Tl 0.000 0.500 0.812
7 Tl 0.500 0.000 0.188
8 Tl 0.500 0.000 0.500
9 Tl 0.500 0.000 0.812
10 Tl 0.500 0.500 0.341
11 Tl 0.500 0.500 0.659

Summary:
Mass density (Mg/m³): 8.002
Energy of formation from the pure elements (eV/atom): -0.060
Energy relative to the lowest polymorph listed for this composition (eV/f.u.): 0.00

---

Record 2
YBeNi: relaxed, PBE-GGA.

Cell lengths 3.908, 3.908, 3.776 Å; angles 90.00, 90.00, 120.00 degrees
Element x y z (fractional)
1 Y 0.000 0.000 0.000
2 Be 0.667 0.333 0.500
3 Ni 0.333 0.667 0.500

Summary:
Mass density (Mg/m³): 5.206
Energy of formation from the pure elements (eV/atom): -0.275
Energy relative to the lowest polymorph listed for this composition (eV/f.u.): 0.00

---

Record 3
TlSeCl2: relaxed, PBE-GGA.

Cell lengths 7.730, 7.730, 7.730 Å; angles 33.84, 33.84, 33.84 degrees
Element x y z (fractional)
1 Tl 0.000 0.000 0.000
2 Se 0.500 0.500 0.500
3 Cl 0.248 0.248 0.248
4 Cl 0.752 0.752 0.752

Summary:
Mass density (Mg/m³): 4.609
Energy relative to the lowest polymorph listed for this composition (eV/f.u.): 1.22
Raw formation energy (eV/atom): -0.08

---

Record 4
GePdSe4: relaxed, PBE-GGA.

Cell lengths 7.922, 7.922, 6.376 Å; angles 104.97, 104.97, 125.24 degrees
Element x y z (fractional)
1 Ge 0.161 0.839 0.750
2 Ge 0.839 0.161 0.250
3 Pd 0.324 0.676 0.250
4 Pd 0.676 0.324 0.750
5 Se 0.052 0.456 0.756
6 Se 0.212 0.309 0.253
7 Se 0.309 0.212 0.753
8 Se 0.456 0.052 0.256
9 Se 0.544 0.948 0.744
10 Se 0.691 0.788 0.247
11 Se 0.788 0.691 0.747
12 Se 0.948 0.544 0.244

Summary:
Mass density (Mg/m³): 6.079
Energy relative to the lowest polymorph listed for this composition (eV/f.u.): 0.68
Raw formation energy (eV/atom): -0.12

---

Record 5
NdSmHo2: relaxed, PBE-GGA.

Cell lengths 3.597, 5.039, 7.194 Å; angles 90.00, 90.00, 90.00 degrees
Element x y z (fractional)
1 Nd 0.000 0.000 0.000
2 Sm 0.000 0.000 0.500
3 Ho 0.500 0.500 0.252
4 Ho 0.500 0.500 0.748

Summary:
Mass density (Mg/m³): 7.952
Energy of formation from the pure elements (eV/atom): 0.017
Energy relative to the lowest polymorph listed for this composition (eV/f.u.): 0.01

---

Record 6
Rb4BiCl6: relaxed, PBE-GGA.

Cell lengths 9.178, 9.178, 9.233 Å; angles 90.00, 90.00, 90.00 degrees
Element x y z (fractional)
1 Rb 0.166 0.334 0.250
2 Rb 0.166 0.334 0.750
3 Rb 0.334 0.834 0.250
4 Rb 0.334 0.834 0.750
5 Rb 0.666 0.166 0.250
6 Rb 0.666 0.166 0.750
7 Rb 0.834 0.666 0.250
8 Rb 0.834 0.666 0.750
9 Bi 0.000 0.000 0.000
10 Bi 0.500 0.500 0.500
11 Cl 0.000 0.000 0.294
12 Cl 0.000 0.000 0.706
13 Cl 0.108 0.682 0.000
14 Cl 0.182 0.608 0.500
15 Cl 0.318 0.108 0.000
16 Cl 0.392 0.182 0.500
17 Cl 0.500 0.500 0.206
18 Cl 0.500 0.500 0.794
19 Cl 0.608 0.818 0.500
20 Cl 0.682 0.892 0.000
21 Cl 0.818 0.392 0.500
22 Cl 0.892 0.318 0.000

Summary:
Mass density (Mg/m³): 3.261
Raw formation energy (eV/atom): -1.53

---

Record 7
SrCaRu2: relaxed, PBE-GGA.

Cell lengths 3.203, 3.595, 8.834 Å; angles 90.00, 90.11, 90.00 degrees
Element x y z (fractional)
1 Sr 0.000 0.000 0.000
2 Ca 0.500 0.500 0.596
3 Ru 0.499 0.500 0.259
4 Ru 0.998 0.000 0.358

Summary:
Mass density (Mg/m³): 5.383
Energy of formation from the pure elements (eV/atom): 0.324
Energy relative to the lowest polymorph listed for this composition (eV/f.u.): 0.08

---

Record 8
NdGaIr: relaxed, PBE-GGA.

Cell lengths 4.356, 4.356, 3.970 Å; angles 90.00, 90.00, 120.00 degrees
Element x y z (fractional)
1 Nd 0.000 0.000 0.000
2 Ga 0.333 0.667 0.500
3 Ir 0.667 0.333 0.500

Summary:
Mass density (Mg/m³): 10.341
Energy of formation from the pure elements (eV/atom): -0.692

---

Record 9
Ac6SnSe8: relaxed, PBE-GGA.

Cell lengths 8.893, 8.893, 8.893 Å; angles 60.00, 60.00, 60.00 degrees
Element x y z (fractional)
1 Ac 0.000 0.000 0.500
2 Ac 0.000 0.500 0.000
3 Ac 0.000 0.500 0.500
4 Ac 0.500 0.000 0.000
5 Ac 0.500 0.000 0.500
6 Ac 0.500 0.500 0.000
7 Sn 0.000 0.000 0.000
8 Se 0.244 0.244 0.756
9 Se 0.244 0.756 0.244
10 Se 0.244 0.756 0.756
11 Se 0.250 0.250 0.250
12 Se 0.750 0.750 0.750
13 Se 0.756 0.244 0.244
14 Se 0.756 0.244 0.756
15 Se 0.756 0.756 0.244

Summary:
Mass density (Mg/m³): 7.053
Raw formation energy (eV/atom): -1.72

---

Record 10
PmYPt4: relaxed, PBE-GGA.

Cell lengths 5.471, 5.471, 5.471 Å; angles 60.00, 60.00, 60.00 degrees
Element x y z (fractional)
1 Pm 0.000 0.000 0.000
2 Y 0.250 0.250 0.250
3 Pt 0.126 0.625 0.625
4 Pt 0.625 0.126 0.625
5 Pt 0.625 0.625 0.126
6 Pt 0.625 0.625 0.625

Summary:
Mass density (Mg/m³): 14.542
Energy of formation from the pure elements (eV/atom): -1.094

---

Record 11
Ta2P: relaxed, PBE-GGA.

Cell lengths 5.293, 5.293, 10.074 Å; angles 90.00, 90.00, 120.00 degrees
Element x y z (fractional)
1 Ta 0.000 0.000 0.000
2 Ta 0.000 0.000 0.500
3 Ta 0.164 0.329 0.250
4 Ta 0.164 0.836 0.250
5 Ta 0.329 0.164 0.750
6 Ta 0.671 0.836 0.250
7 Ta 0.836 0.164 0.750
8 Ta 0.836 0.671 0.750
9 P 0.333 0.667 0.037
10 P 0.333 0.667 0.463
11 P 0.667 0.333 0.537
12 P 0.667 0.333 0.963

Summary:
Mass density (Mg/m³): 10.675
Energy of formation from the pure elements (eV/atom): 0.671

---

Record 12
LuAlRu: relaxed, PBE-GGA.

Cell lengths 4.334, 4.334, 3.468 Å; angles 90.00, 90.00, 120.00 degrees
Element x y z (fractional)
1 Lu 0.000 0.000 0.000
2 Al 0.333 0.667 0.500
3 Ru 0.667 0.333 0.500

Summary:
Mass density (Mg/m³): 8.920
Energy of formation from the pure elements (eV/atom): -0.491

---

Record 13
TiMn5Co6: relaxed, PBE-GGA.

Cell lengths 7.054, 7.054, 7.054 Å; angles 146.43, 132.02, 59.83 degrees
Element x y z (fractional)
1 Ti 0.000 0.000 0.000
2 Mn 0.167 0.667 0.500
3 Mn 0.334 0.334 0.000
4 Mn 0.500 0.000 0.500
5 Mn 0.666 0.666 0.000
6 Mn 0.833 0.333 0.500
7 Co 0.084 0.832 0.251
8 Co 0.253 0.500 0.753
9 Co 0.419 0.168 0.251
10 Co 0.581 0.832 0.749
11 Co 0.747 0.500 0.247
12 Co 0.916 0.168 0.749

Summary:
Mass density (Mg/m³): 7.856
Energy of formation from the pure elements (eV/atom): -0.106

---

Record 14
ZnCdAsI: relaxed, PBE-GGA.

Cell lengths 4.276, 4.276, 8.903 Å; angles 104.69, 104.69, 59.99 degrees
Element x y z (fractional)
1 Zn 0.000 0.000 0.000
2 Cd 0.439 0.439 0.304
3 As 0.334 0.334 0.001
4 I 0.176 0.176 0.503

Summary:
Mass density (Mg/m³): 4.676
Raw formation energy (eV/atom): -0.28

---

Record 15
LiHf2Cr2: relaxed, PBE-GGA.

Cell lengths 6.692, 6.692, 3.833 Å; angles 90.00, 90.00, 90.00 degrees
Element x y z (fractional)
1 Li 0.000 0.000 0.000
2 Li 0.500 0.500 0.000
3 Hf 0.178 0.322 0.500
4 Hf 0.322 0.822 0.500
5 Hf 0.678 0.178 0.500
6 Hf 0.822 0.678 0.500
7 Cr 0.109 0.609 0.000
8 Cr 0.391 0.109 0.000
9 Cr 0.609 0.891 0.000
10 Cr 0.891 0.391 0.000

Summary:
Mass density (Mg/m³): 9.051
Energy of formation from the pure elements (eV/atom): 0.336
Energy relative to the lowest polymorph listed for this composition (eV/f.u.): 0.00

---

Record 16
Si2Se: relaxed, PBE-GGA.

Cell lengths 8.372, 8.372, 2.593 Å; angles 90.00, 90.00, 120.00 degrees
Element x y z (fractional)
1 Si 0.000 0.323 0.000
2 Si 0.000 0.677 0.000
3 Si 0.323 0.000 0.000
4 Si 0.323 0.323 0.000
5 Si 0.677 0.000 0.000
6 Si 0.677 0.677 0.000
7 Se 0.000 0.000 0.500
8 Se 0.333 0.667 0.000
9 Se 0.667 0.333 0.000

Summary:
Mass density (Mg/m³): 4.277
Energy relative to the lowest polymorph listed for this composition (eV/f.u.): 1.99
Raw formation energy (eV/atom): 0.49

---

Record 17
SiB2PC: relaxed, PBE-GGA.

Cell lengths 3.082, 3.107, 6.564 Å; angles 85.58, 82.51, 64.76 degrees
Element x y z (fractional)
1 Si 0.000 0.000 0.000
2 B 0.401 0.403 0.663
3 B 0.949 0.957 0.307
4 P 0.937 0.439 0.479
5 C 0.370 0.339 0.898

Summary:
Mass density (Mg/m³): 2.732
Energy relative to the lowest polymorph listed for this composition (eV/f.u.): 0.77
Raw formation energy (eV/atom): 0.27

---

Record 18
Th4PIr2Se: relaxed, PBE-GGA.

Cell lengths 7.105, 4.102, 7.592 Å; angles 90.00, 108.03, 90.00 degrees
Element x y z (fractional)
1 Th 0.237 0.000 0.226
2 Th 0.250 0.500 0.769
3 Th 0.750 0.500 0.231
4 Th 0.763 0.000 0.774
5 P 0.000 0.000 0.500
6 Ir 0.000 0.500 0.000
7 Ir 0.500 0.000 0.000
8 Se 0.500 0.500 0.500

Summary:
Mass density (Mg/m³): 11.226
Raw formation energy (eV/atom): -1.23

---

Record 19
LiInHgCl6: relaxed, PBE-GGA.

Cell lengths 6.626, 6.626, 11.895 Å; angles 90.00, 90.00, 120.00 degrees
Element x y z (fractional)
1 Li 0.000 0.000 0.000
2 Li 0.000 0.000 0.500
3 In 0.333 0.667 0.250
4 In 0.667 0.333 0.750
5 Hg 0.333 0.667 0.750
6 Hg 0.667 0.333 0.250
7 Cl 0.017 0.350 0.126
8 Cl 0.017 0.667 0.374
9 Cl 0.333 0.350 0.374
10 Cl 0.333 0.983 0.126
11 Cl 0.350 0.017 0.626
12 Cl 0.350 0.333 0.874
13 Cl 0.650 0.667 0.126
14 Cl 0.650 0.983 0.374
15 Cl 0.667 0.017 0.874
16 Cl 0.667 0.650 0.626
17 Cl 0.983 0.333 0.626
18 Cl 0.983 0.650 0.874

Summary:
Mass density (Mg/m³): 3.929
Raw formation energy (eV/atom): -1.04

---

Record 20
Nb12Sn3Ir: relaxed, PBE-GGA.

Cell lengths 5.277, 5.281, 10.611 Å; angles 90.00, 90.00, 90.00 degrees
Element x y z (fractional)
1 Nb 0.000 0.000 0.118
2 Nb 0.000 0.000 0.370
3 Nb 0.000 0.000 0.630
4 Nb 0.000 0.000 0.882
5 Nb 0.246 0.500 0.242
6 Nb 0.246 0.500 0.758
7 Nb 0.500 0.246 0.500
8 Nb 0.500 0.257 0.000
9 Nb 0.500 0.743 0.000
10 Nb 0.500 0.754 0.500
11 Nb 0.754 0.500 0.242
12 Nb 0.754 0.500 0.758
13 Sn 0.000 0.500 0.500
14 Sn 0.500 0.000 0.252
15 Sn 0.500 0.000 0.748
16 Ir 0.000 0.500 0.000

Summary:
Mass density (Mg/m³): 9.340
Energy of formation from the pure elements (eV/atom): -0.243

---

Record 21
TlBi2Sb2: relaxed, PBE-GGA.

Cell lengths 6.789, 6.789, 6.789 Å; angles 129.01, 129.01, 74.99 degrees
Element x y z (fractional)
1 Tl 0.000 0.000 0.000
2 Bi 0.352 0.352 0.000
3 Bi 0.648 0.648 0.000
4 Sb 0.250 0.750 0.500
5 Sb 0.750 0.250 0.500

Summary:
Mass density (Mg/m³): 7.815
Energy relative to the lowest polymorph listed for this composition (eV/f.u.): 0.00
Raw formation energy (eV/atom): 0.10

---

Record 22
KSiI: relaxed, PBE-GGA.

Cell lengths 4.085, 6.134, 8.922 Å; angles 72.91, 86.08, 89.63 degrees
Element x y z (fractional)
1 K 0.209 0.343 0.239
2 K 0.791 0.657 0.761
3 Si 0.256 0.909 0.964
4 Si 0.744 0.091 0.036
5 I 0.304 0.213 0.671
6 I 0.696 0.787 0.329

Summary:
Mass density (Mg/m³): 3.024
Raw formation energy (eV/atom): -0.41

---

Record 23
Cr2CuCI: relaxed, PBE-GGA.

Cell lengths 4.862, 4.862, 4.900 Å; angles 90.00, 90.00, 90.00 degrees
Element x y z (fractional)
1 Cr 0.000 0.500 0.000
2 Cr 0.500 0.000 0.000
3 Cu 0.000 0.000 0.000
4 C 0.500 0.500 0.500
5 I 0.000 0.000 0.500

Summary:
Mass density (Mg/m³): 4.393
Raw formation energy (eV/atom): 2.21

---

Record 24
CdHCl3: relaxed, PBE-GGA.

Cell lengths 4.470, 4.470, 4.470 Å; angles 90.00, 90.00, 90.00 degrees
Element x y z (fractional)
1 Cd 0.000 0.000 0.000
2 H 0.500 0.500 0.500
3 Cl 0.000 0.500 0.500
4 Cl 0.500 0.000 0.500
5 Cl 0.500 0.500 0.000

Summary:
Mass density (Mg/m³): 4.086
Energy relative to the lowest polymorph listed for this composition (eV/f.u.): 4.75